[1]
The following is a meta-GGA SCAN calculation of a PBEsol-optimized structure of HoGaO3, from Alexandria.

ΔE_f (raw): -3.0301 eV per atom

abc: 6.0105 6.0105 11.5760
angles: 90.00 90.00 120.00
Closest atoms and distances in Å follow each position.
Space group P6_3cm (No. 185)
Asymmetric unit:
Ho 0.0000 0.0000 0.0000  7 O 2.25-2.34
Ho 0.3333 0.6667 0.0426  7 O 2.24-2.46
Ga 0.0000 0.3341 0.2750  5 O 1.88-2.03
O 0.0000 0.0000 0.2981  3 Ga 2.03
O 0.0000 0.3054 0.1118  1 Ga 1.90
O 0.0000 0.3608 0.4370  1 Ga 1.88
O 0.3333 0.6667 0.2549  3 Ga 2.01


[2]
The following is a meta-GGA SCAN calculation of a PBEsol-optimized structure of HoGaO3, from Alexandria.

ΔE_f (raw): -3.0299 eV per atom

abc: 5.5335 7.5030 5.2131
angles: 90.00 90.00 90.00
Closest atoms and distances in Å follow each position.
Space group Pnma (No. 62)
Asymmetric unit:
Ho 0.0714 0.2500 0.0206  6 O 2.21-2.45
Ga 0.0000 0.0000 0.5000  6 O 1.98-2.01
O 0.0384 0.7500 0.3869  2 Ga 1.98, 1 Ho 2.21
O 0.1947 0.5573 0.8075  2 Ga 1.98-2.01


[3]
The following is a meta-GGA SCAN calculation of a PBEsol-optimized structure of HoGa3Os, from Alexandria.

calculated formation energy: -618 meV/atom

abc: 6.3274 6.3274 6.3274
angles: 90.00 90.00 90.00
Closest atoms and distances in Å follow each position.
Space group Pm-3m (No. 221)
Asymmetric unit:
Ho 0.0000 0.0000 0.5000  10 Ga 2.91-3.16, 4 Os 3.16
Ga 0.0000 0.0000 0.0000  8 Ga 3.16, 6 Ho 3.16
Ga 0.2885 0.2885 0.2885  3 Os 2.63, 3 Ga 2.68, 3 Ho 2.91
Os 0.0000 0.5000 0.5000  8 Ga 2.63


[4]
The following is a meta-GGA SCAN calculation of a PBEsol-optimized structure of HoGa2Pd, from Alexandria.

calculated formation energy: -915 meV/atom

abc: 4.3616 9.9694 6.4845
angles: 90.00 90.00 90.00
Closest atoms and distances in Å follow each position.
Space group Cmcm (No. 63)
Asymmetric unit:
Ho 0.0000 0.0885 0.2500  3 Pd 2.88-3.03, 6 Ga 2.96-3.11
Ga 0.0000 0.3728 0.0531  2 Ga 2.55-2.63, 3 Pd 2.61-2.63
Pd 0.0000 0.2007 0.7500  6 Ga 2.61-2.63, 1 Ho 2.88


[5]
The following is a meta-GGA SCAN calculation of a PBEsol-optimized structure of HoGaPt, from Alexandria.

calculated formation energy: -1338 meV/atom

abc: 6.7716 4.3705 7.5662
angles: 90.00 90.00 90.00
Closest atoms and distances in Å follow each position.
Space group Pnma (No. 62)
Asymmetric unit:
Ho 0.0155 0.2500 0.1977  5 Pt 2.85-3.04, 6 Ga 3.04-3.18
Ga 0.1713 0.2500 0.5752  4 Pt 2.57-2.69
Pt 0.2246 0.7500 0.4016  4 Ga 2.57-2.69, 1 Ho 2.85


[6]
The following is a meta-GGA SCAN calculation of a PBEsol-optimized structure of Ho4Ga12Pt, from Alexandria.

calculated formation energy: -718 meV/atom

abc: 8.4623 8.4623 8.4623
angles: 90.00 90.00 90.00
Closest atoms and distances in Å follow each position.
Space group Im-3m (No. 229)
Asymmetric unit:
Ho 0.2500 0.2500 0.2500  12 Ga 2.99-3.02
Ga 0.0000 0.0000 0.2981  1 Pt 2.52, 4 Ga 2.72
Ga 0.0000 0.2500 0.5000  8 Ga 2.72-2.99, 4 Ho 2.99
Pt 0.0000 0.0000 0.0000  6 Ga 2.52


| no. | density (g/cm3) | DFT total energy (eV for the cell shown) |
| --- | --- | --- |
| 1 | 7.78 | -595.07 |
| 2 | 8.67 | -396.71 |
| 3 | 11.10 | -518.99 |
| 4 | 9.68 | -472.46 |
| 5 | 12.75 | -558.16 |
| 6 | 9.27 | -949.01 |